[1]
Computed, not measured: Ac2Al9Ir3 after structural relaxation at the PBE level of DFT.

Calculated density in g/cm3: 8.205
Calculated formation energy in eV/atom: -0.73
Total magnetization in μB per cell: 0.00
Electronic total energy in eV per atom: -5.617
DOS at the Fermi energy in states/eV/f.u.: 6.91

Lattice parameters (Å, degrees): 13.525 7.729 10.868 90.00 114.84 90.00
Space group C2/c (No. 15)
One atom of each set of equivalent atoms:
Ac (0.169, 0.083, 0.249) x8
Al (0.000, 0.377, 0.250) x4
Al (0.060, 0.089, 0.929) x8
Al (0.096, 0.417, 0.042) x8
Al (0.100, 0.320, 0.748) x8
Al (0.223, 0.420, 0.433) x8
Ir (0.085, 0.246, 0.501) x8
Ir (0.250, 0.250, 0.000) x4

---

[2]
Computed, not measured: AcAl3Ir2 after structural relaxation at the PBE level of DFT.

Calculated density in g/cm3: 9.910
Calculated formation energy in eV/atom: -0.79
Total magnetization in μB per cell: 0.00
Offset from the most stable computed form in eV per formula unit: 0.000
Electronic total energy in eV per atom: -6.303
DOS at the Fermi energy in states/eV/f.u.: 2.99

Lattice parameters (Å, degrees): 16.802 4.190 10.294 90.00 106.16 90.00
Space group C2/m (No. 12)
One atom of each set of equivalent atoms:
Ac (0.000, 0.000, 0.000) x2
Ac (0.159, 0.000, 0.712) x4
Al (0.000, 0.500, 0.500) x2
Al (0.050, 0.000, 0.350) x4
Al (0.132, 0.500, 0.213) x4
Al (0.176, 0.500, 0.971) x4
Al (0.217, 0.000, 0.400) x4
Ir (0.023, 0.500, 0.774) x4
Ir (0.137, 0.500, 0.452) x4
Ir (0.193, 0.000, 0.129) x4

---

[3]
Computed, not measured: AcAl3Ir after structural relaxation at the PBE level of DFT.

Calculated density in g/cm3: 7.366
Calculated formation energy in eV/atom: -0.46
Total magnetization in μB per cell: 0.00
Offset from the most stable computed form in eV per formula unit: 1.026
Electronic total energy in eV per atom: -5.295
DOS at the Fermi energy in states/eV/f.u.: 3.48

Lattice parameters (Å, degrees): 4.831 4.831 4.831 90.00 90.00 90.00
Space group Pm-3m (No. 221)
One atom of each set of equivalent atoms:
Ac (0.000, 0.000, 0.000) x1
Al (0.000, 0.500, 0.500) x3
Ir (0.500, 0.500, 0.500) x1

---

[4]
Computed, not measured: AcAl5Ir after structural relaxation at the PBE level of DFT.

Calculated density in g/cm3: 6.347
Calculated formation energy in eV/atom: -0.45
Total magnetization in μB per cell: 0.00
Electronic total energy in eV per atom: -4.975
DOS at the Fermi energy in states/eV/f.u.: 2.31

Lattice parameters (Å, degrees): 4.453 4.453 7.312 90.00 90.00 90.00
Space group P4/mmm (No. 123)
One atom of each set of equivalent atoms:
Ac (0.000, 0.000, 0.000) x1
Al (0.000, 0.500, 0.318) x4
Al (0.500, 0.500, 0.000) x1
Ir (0.000, 0.000, 0.500) x1

---

[5]
Computed, not measured: AcAl2Ir after structural relaxation at the PBE level of DFT.

Calculated density in g/cm3: 8.795
Calculated formation energy in eV/atom: -0.74
Total magnetization in μB per cell: 0.00
Offset from the most stable computed form in eV per formula unit: 0.000
Electronic total energy in eV per atom: -5.855
DOS at the Fermi energy in states/eV/f.u.: 2.75

Lattice parameters (Å, degrees): 4.242 11.290 7.462 90.00 90.00 90.00
Space group Cmcm (No. 63)
One atom of each set of equivalent atoms:
Ac (0.000, 0.053, 0.250) x4
Al (0.000, 0.323, 0.060) x8
Ir (0.000, 0.220, 0.750) x4

---

[6]
Computed, not measured: AcAl6Ir3 after structural relaxation at the PBE level of DFT.

Calculated density in g/cm3: 8.753
Calculated formation energy in eV/atom: -0.73
Total magnetization in μB per cell: 0.00
Electronic total energy in eV per atom: -6.041
DOS at the Fermi energy in states/eV/f.u.: 5.39

Lattice parameters (Å, degrees): 8.694 4.307 9.792 90.00 92.39 90.00
Space group P2_1/m (No. 11)
One atom of each set of equivalent atoms:
Ac (0.041, 0.250, 0.305) x2
Al (0.123, 0.750, 0.028) x2
Al (0.237, 0.250, 0.636) x2
Al (0.317, 0.750, 0.268) x2
Al (0.328, 0.750, 0.792) x2
Al (0.433, 0.250, 0.418) x2
Al (0.468, 0.250, 0.916) x2
Ir (0.174, 0.250, 0.884) x2
Ir (0.284, 0.750, 0.518) x2
Ir (0.378, 0.250, 0.152) x2

---

[7]
Computed, not measured: AcAl2Ir after structural relaxation at the PBE level of DFT.

Calculated density in g/cm3: 8.965
Calculated formation energy in eV/atom: -0.70
Total magnetization in μB per cell: 0.00
Offset from the most stable computed form in eV per formula unit: 0.150
Electronic total energy in eV per atom: -5.817
DOS at the Fermi energy in states/eV/f.u.: 2.58

Lattice parameters (Å, degrees): 15.815 7.225 6.136 90.00 90.00 90.00
Space group Pnma (No. 62)
One atom of each set of equivalent atoms:
Ac (0.098, 0.250, 0.206) x4
Ac (0.136, 0.750, 0.018) x4
Al (0.051, 0.065, 0.687) x8
Al (0.207, 0.558, 0.526) x8
Ir (0.068, 0.750, 0.502) x4
Ir (0.192, 0.250, 0.757) x4

---

[8]
Computed, not measured: Ac2Al5Ir4 after structural relaxation at the PBE level of DFT.

Calculated density in g/cm3: 10.127
Calculated formation energy in eV/atom: -0.72
Total magnetization in μB per cell: 0.00
Electronic total energy in eV per atom: -6.394
DOS at the Fermi energy in states/eV/f.u.: 4.90

Lattice parameters (Å, degrees): 5.681 10.650 14.720 90.00 90.00 90.00
Space group Fmmm (No. 69)
One atom of each set of equivalent atoms:
Ac (0.000, 0.000, 0.151) x8
Al (0.000, 0.000, 0.500) x4
Al (0.250, 0.250, 0.000) x8
Al (0.250, 0.250, 0.250) x8
Ir (0.000, 0.153, 0.373) x16

---

[9]
Computed, not measured: AcAl11Ir after structural relaxation at the PBE level of DFT.

Calculated density in g/cm3: 5.095
Calculated formation energy in eV/atom: -0.29
Total magnetization in μB per cell: 0.00
Electronic total energy in eV per atom: -4.456
DOS at the Fermi energy in states/eV/f.u.: 4.44

Lattice parameters (Å, degrees): 5.241 12.799 7.399 90.00 109.87 90.00
Space group C2/m (No. 12)
One atom of each set of equivalent atoms:
Ac (0.000, 0.000, 0.000) x2
Al (0.000, 0.000, 0.500) x2
Al (0.114, 0.388, 0.237) x8
Al (0.185, 0.175, 0.362) x8
Al (0.250, 0.250, 0.000) x4
Ir (0.000, 0.500, 0.500) x2

---

[10]
Computed, not measured: Ac2Al3Ir2 after structural relaxation at the PBE level of DFT.

Calculated density in g/cm3: 9.735
Calculated formation energy in eV/atom: -0.73
Total magnetization in μB per cell: 0.00
Electronic total energy in eV per atom: -6.035
DOS at the Fermi energy in states/eV/f.u.: 3.56

Lattice parameters (Å, degrees): 11.318 4.171 7.610 90.00 119.18 90.00
Space group C2/m (No. 12)
One atom of each set of equivalent atoms:
Ac (0.137, 0.000, 0.266) x4
Al (0.000, 0.500, 0.500) x2
Al (0.156, 0.500, 0.932) x4
Ir (0.132, 0.000, 0.710) x4

---

[11]
Computed, not measured: Ac3Al9Ir2 after structural relaxation at the PBE level of DFT.

Calculated density in g/cm3: 7.175
Calculated formation energy in eV/atom: -0.51
Total magnetization in μB per cell: 0.00
Electronic total energy in eV per atom: -5.064
DOS at the Fermi energy in states/eV/f.u.: 7.59

Lattice parameters (Å, degrees): 4.488 10.502 12.847 90.00 90.00 90.00
Space group Immm (No. 71)
One atom of each set of equivalent atoms:
Ac (0.000, 0.000, 0.000) x2
Ac (0.000, 0.000, 0.315) x4
Al (0.000, 0.283, 0.113) x8
Al (0.000, 0.351, 0.333) x8
Al (0.000, 0.500, 0.000) x2
Ir (0.000, 0.223, 0.500) x4

---

[12]
Computed, not measured: AcAl4Ir2 after structural relaxation at the PBE level of DFT.

Calculated density in g/cm3: 8.826
Calculated formation energy in eV/atom: -0.80
Total magnetization in μB per cell: 0.00
Electronic total energy in eV per atom: -6.052
DOS at the Fermi energy in states/eV/f.u.: 2.61

Lattice parameters (Å, degrees): 17.493 4.229 7.318 90.00 90.00 90.00
Space group Pnma (No. 62)
One atom of each set of equivalent atoms:
Ac (0.113, 0.250, 0.028) x4
Al (0.042, 0.750, 0.706) x4
Al (0.099, 0.250, 0.500) x4
Al (0.189, 0.750, 0.356) x4
Al (0.207, 0.750, 0.734) x4
Ir (0.035, 0.750, 0.355) x4
Ir (0.237, 0.250, 0.549) x4